A plane-wave DFT calculation with PBE was carried out for a relaxed structure of ZrCrBr2.

Cell and atoms, written as CIF:
```
data_ZrCrBr2
_symmetry_space_group_name_H-M 'F m -3 m'
_symmetry_Int_Tables_number 225
_symmetry_space_group_name_Hall '-F 4 2 3'
_cell_length_a 6.840
_cell_length_b 6.840
_cell_length_c 6.840
_cell_angle_alpha 90.00
_cell_angle_beta 90.00
_cell_angle_gamma 90.00
loop_
_atom_site_label
_atom_site_type_symbol
_atom_site_fract_x
_atom_site_fract_y
_atom_site_fract_z
Zr1 Zr 0.000 0.000 0.000
Cr1 Cr 0.000 0.000 0.500
Br1 Br 0.250 0.250 0.250
```

N(E_F) = 2.120 states/eV/f.u.
E_form (uncorrected) = 83.2 meV/atom
E above lowest polymorph = 477 meV per atom


A plane-wave DFT calculation with PBE was carried out for a relaxed structure of Li2NiAu.

Cell and atoms, written as CIF:
```
data_Li2NiAu
_symmetry_space_group_name_H-M 'I 4/m m m'
_symmetry_Int_Tables_number 139
_symmetry_space_group_name_Hall '-I 4 2'
_cell_length_a 3.776
_cell_length_b 3.776
_cell_length_c 7.611
_cell_angle_alpha 90.00
_cell_angle_beta 90.00
_cell_angle_gamma 90.00
loop_
_atom_site_label
_atom_site_type_symbol
_atom_site_fract_x
_atom_site_fract_y
_atom_site_fract_z
Li1 Li 0.000 0.500 0.250
Ni1 Ni 0.000 0.000 0.000
Au1 Au 0.000 0.000 0.500
```

N(E_F) = 2.072 states/eV/f.u.
Formation enthalpy at 0 K = -0.249 eV per atom


A plane-wave DFT calculation with PBE was carried out for a relaxed structure of AcPmHo2Se4.

Cell and atoms, written as CIF:
```
data_AcPmHo2Se4
_symmetry_space_group_name_H-M 'P 1 2/m 1'
_symmetry_Int_Tables_number 10
_symmetry_space_group_name_Hall '-P 2y'
_cell_length_a 7.135
_cell_length_b 4.100
_cell_length_c 7.530
_cell_angle_alpha 90.00
_cell_angle_beta 108.32
_cell_angle_gamma 90.00
loop_
_atom_site_label
_atom_site_type_symbol
_atom_site_fract_x
_atom_site_fract_y
_atom_site_fract_z
Ac1 Ac 0.000 0.000 0.000
Pm1 Pm 0.500 0.500 0.000
Ho1 Ho 0.000 0.500 0.500
Ho2 Ho 0.500 0.000 0.500
Se1 Se 0.249 0.000 0.729
Se2 Se 0.265 0.500 0.276
```

N(E_F) = 3.537 states/eV/f.u.
E_form (uncorrected) = -1773.9 meV/atom


A plane-wave DFT calculation with PBE was carried out for a relaxed structure of Ba2Re.

Cell and atoms, written as CIF:
```
data_Ba2Re
_symmetry_space_group_name_H-M 'C 1 2/m 1'
_symmetry_Int_Tables_number 12
_symmetry_space_group_name_Hall '-C 2y'
_cell_length_a 18.295
_cell_length_b 4.104
_cell_length_c 6.908
_cell_angle_alpha 90.00
_cell_angle_beta 103.08
_cell_angle_gamma 90.00
loop_
_atom_site_label
_atom_site_type_symbol
_atom_site_fract_x
_atom_site_fract_y
_atom_site_fract_z
Ba1 Ba 0.085 0.000 0.307
Ba2 Ba 0.161 0.500 0.829
Re1 Re 0.238 0.500 0.404
```

N(E_F) = 3.726 states/eV/f.u.
Formation enthalpy at 0 K = 0.442 eV per atom
E above lowest polymorph = 0 meV per atom